Record 1
VASP calculation (PBE) on a relaxed structure of Be2InPb.

E above lowest polymorph in meV/atom: 0
Density in Mg/m³: 7.1
N(E_F) in states/eV per cell: 1.29

a = 6.5742 Å, b = 6.5742 Å, c = 6.5742 Å
α = 33.98°, β = 33.98°, γ = 33.98°
Closest atoms and distances in Å follow each position.
Atoms (fractional coordinates):
1 Be 0.0000 0.0000 0.0000  3 Be 2.22
2 Be 0.3321 0.3321 0.3321  3 Be 2.22
3 In 0.5824 0.5824 0.5824  6 Be 2.70-2.71
4 Pb 0.7657 0.7657 0.7657  6 Be 2.88-2.90

=====

Record 2
VASP calculation (PBE) on a relaxed structure of LiTiMnNb.

E_tot in eV for the cell shown: -28.767
Density in Mg/m³: 5.9
N(E_F) in states/eV per cell: 3.03

a = 4.3193 Å, b = 4.3193 Å, c = 4.3193 Å
α = 60.00°, β = 60.00°, γ = 60.00°
Closest atoms and distances in Å follow each position.
Atoms (fractional coordinates):
1 Li 0.0000 0.0000 0.0000  4 Nb 2.65, 4 Ti 2.65
2 Ti 0.7500 0.7500 0.7500  4 Mn 2.65, 4 Li 2.65
3 Mn 0.5000 0.5000 0.5000  4 Nb 2.65, 4 Ti 2.65
4 Nb 0.2500 0.2500 0.2500  4 Mn 2.65, 4 Li 2.65